Record 1
The following is a PBE calculation of an optimized crystal structure of Fe2Pd13, from Alexandria via LeMat-Bulk.

Volume: 291.0 Å³ per cell
Symmetry: No. 166
E: -0.3811 Ry per atom
Size of the total moment: 10.6 μB/f.u.
Energy of formation from the pure elements: 0.44 eV/atom

The structure in POSCAR format:
```
Fe2Pd13
1.0
-0.9889 -5.2190 -4.8100
0.4617 -6.8621 2.0126
-6.5786 -4.0610 0.4207
Fe Pd
2 13
Direct
0.2607 0.2607 0.2178
0.7393 0.7393 0.7822
0.5000 0.5000 0.5000
0.4752 0.8684 0.1811
0.4752 0.4752 0.1811
0.8684 0.4752 0.1811
0.1316 0.5248 0.8189
0.5248 0.1316 0.8189
0.5248 0.5248 0.8189
0.2640 0.8987 0.5733
0.2640 0.2640 0.5733
0.8987 0.2640 0.5733
0.1013 0.7360 0.4267
0.7360 0.1013 0.4267
0.7360 0.7360 0.4267
```


Record 2
The following is a PBE calculation of an optimized crystal structure of Hf2FeSi, from Alexandria via LeMat-Bulk.

Volume: 267.7 Å³ per cell
Symmetry: No. 12
E: -0.6570 Ry per atom
Size of the total moment: 0.0 μB/f.u.
Formation energy (no corrections): -491 meV/atom

The structure in POSCAR format:
```
Hf2FeSi
1.0
-1.3390 2.2625 -4.5087
-4.9922 -6.5607 -1.8097
-3.8606 1.4440 5.4150
Si Hf Fe
4 8 4
Direct
0.0000 0.2102 0.0000
0.0000 0.7898 0.0000
0.0000 0.7102 0.5000
0.0000 0.2898 0.5000
0.5000 0.8098 0.5000
0.5000 0.1902 0.5000
0.5000 0.3098 0.0000
0.5000 0.6902 0.0000
0.1151 0.0000 0.7362
0.8849 0.0000 0.2638
0.1151 0.5000 0.2362
0.8849 0.5000 0.7638
0.6521 0.0000 0.8527
0.3479 0.0000 0.1473
0.6521 0.5000 0.3527
0.3479 0.5000 0.6473
```


Record 3
The following is a PBE calculation of an optimized crystal structure of PmMnCuS3, from Alexandria via LeMat-Bulk.

Volume: 206.2 Å³ per cell
Symmetry: No. 11
E: -0.4386 Ry per atom
Size of the total moment: 1.2 μB/f.u.
Formation energy (no corrections): -900 meV/atom

The structure in POSCAR format:
```
PmMnCuS3
1.0
-3.3306 -0.1448 -1.6484
-3.0646 -0.3170 6.2200
0.5375 8.0731 -1.7953
Pm Mn Cu S
2 2 2 6
Direct
0.2500 0.2102 0.2486
0.7500 0.7898 0.7514
0.2500 0.6437 0.1420
0.7500 0.3564 0.8580
0.2500 0.1010 0.5942
0.7500 0.8990 0.4058
0.7500 0.8867 0.1267
0.2500 0.1133 0.8733
0.2500 0.7303 0.4719
0.7500 0.2697 0.5281
0.7500 0.4529 0.1417
0.2500 0.5471 0.8583
```


Record 4
The following is a PBE calculation of an optimized crystal structure of Cr12As5C, from Alexandria via LeMat-Bulk.

Volume: 231.9 Å³ per cell
Symmetry: No. 25
E: -0.6049 Ry per atom
Size of the total moment: 8.6 μB/f.u.
Energy of formation from the pure elements: -0.01 eV/atom

The structure in POSCAR format:
```
Cr12As5C
1.0
-1.2417 0.3292 2.9444
5.3242 -2.6198 2.5383
4.6130 10.1596 0.8096
Cr As C
12 5 1
Direct
0.0000 0.2729 0.5000
0.0000 0.7335 0.0000
0.0000 0.6148 0.3899
0.0000 0.1290 0.8633
0.0000 0.1290 0.1367
0.0000 0.6148 0.6101
0.5000 0.8692 0.5000
0.5000 0.3973 0.0000
0.5000 0.7947 0.2082
0.5000 0.3262 0.6795
0.5000 0.3262 0.3205
0.5000 0.7947 0.7918
0.0000 0.0043 0.3405
0.0000 0.4978 0.8276
0.0000 0.4978 0.1724
0.0000 0.0043 0.6595
0.5000 0.9999 0.0000
0.5000 0.4938 0.5000
```


Record 5
The following is a PBE calculation of an optimized crystal structure of Pr2TmGa, from Alexandria via LeMat-Bulk.

Volume: 130.0 Å³ per cell
Symmetry: No. 166
E: -0.3020 Ry per atom
Size of the total moment: 0.0 μB/f.u.
Energy of formation from the pure elements: 0.16 eV/atom

The structure in POSCAR format:
```
Pr2TmGa
1.0
-0.2631 -0.2565 -3.5222
-0.9449 -3.0725 -1.4859
-11.9088 2.1270 -1.0456
Pr Tm Ga
2 1 1
Direct
0.0864 0.0864 0.7408
0.9136 0.9136 0.2592
0.5000 0.5000 0.5000
0.0000 0.0000 0.0000
```


Record 6
The following is a PBE calculation of an optimized crystal structure of SrTbHgBi, from Alexandria via LeMat-Bulk.

Volume: 122.4 Å³ per cell
Symmetry: No. 216
E: -0.2307 Ry per atom
Size of the total moment: 0.0 μB/f.u.
Energy of formation from the pure elements: -0.52 eV/atom

The structure in POSCAR format:
```
SrTbHgBi
1.0
-1.3716 2.1551 -4.9525
-3.5691 -2.6990 -3.3211
-5.1194 2.0386 -0.8301
Sr Tb Bi Hg
1 1 1 1
Direct
0.2500 0.2500 0.2500
0.7500 0.7500 0.7500
0.5000 0.5000 0.5000
0.0000 0.0000 0.0000
```


Record 7
The following is a PBE calculation of an optimized crystal structure of Ac2Hg3O6, from Alexandria via LeMat-Bulk.

Volume: 217.8 Å³ per cell
Symmetry: No. 12
E: -0.3875 Ry per atom
Size of the total moment: 0.0 μB/f.u.
Formation energy (no corrections): -1738 meV/atom

The structure in POSCAR format:
```
Ac2Hg3O6
1.0
4.0009 0.0000 -1.0678
-0.1436 6.7814 -0.5382
-0.0029 0.0980 8.0182
Ac Hg O
2 3 6
Direct
0.8659 0.9385 0.7318
0.1341 0.0615 0.2682
0.3304 0.4173 0.6609
0.6696 0.5827 0.3391
0.0000 0.5000 0.0000
0.9851 0.2044 0.9702
0.6913 0.8790 0.3826
0.6554 0.2874 0.3107
0.0149 0.7956 0.0298
0.3087 0.1210 0.6174
0.3446 0.7126 0.6893
```


Record 8
The following is a PBE calculation of an optimized crystal structure of MnBeIr2, from Alexandria via LeMat-Bulk.

Volume: 53.0 Å³ per cell
Symmetry: No. 47
E: -0.5647 Ry per atom
Size of the total moment: 3.7 μB/f.u.
Energy of formation from the pure elements: -0.03 eV/atom

The structure in POSCAR format:
```
MnBeIr2
1.0
-0.4678 2.7584 -0.5170
-2.7590 -1.1115 -3.4344
-3.1863 -0.0571 2.5782
Be Ir Mn
1 2 1
Direct
0.0000 0.5000 0.5000
0.0000 0.0000 0.0000
0.5000 0.5000 0.0000
0.5000 0.0000 0.5000
```


Question: What is the formula in the third record?
Answer: PmMnCuS3